No. 1
La7Tm3Sc: relaxed, PBE.

Cell: 9.982 9.982 11.598 Å, 90.22 90.22 138.78°
Fractional positions:
La (0.091, 0.417, 0.034)
La (0.099, 0.424, 0.467)
La (0.191, 0.366, 0.749)
La (0.217, 0.217, 0.248)
La (0.366, 0.191, 0.749)
La (0.417, 0.091, 0.034)
La (0.424, 0.099, 0.467)
La (0.576, 0.901, 0.533)
La (0.583, 0.909, 0.966)
La (0.634, 0.809, 0.251)
La (0.783, 0.783, 0.752)
La (0.809, 0.634, 0.251)
La (0.901, 0.576, 0.533)
La (0.909, 0.583, 0.966)
Tm (0.000, 0.000, 0.500)
Tm (0.231, 0.750, 0.251)
Tm (0.250, 0.769, 0.749)
Tm (0.500, 0.500, 0.000)
Tm (0.750, 0.231, 0.251)
Tm (0.769, 0.250, 0.749)
Sc (0.000, 0.000, 0.000)
Sc (0.500, 0.500, 0.500)

Output
Symmetry = C2/m (12)
ΔE_f = 0.122 eV per atom
Mass density = 6.65 g/cm³

No. 2
Pm4GaBi2: relaxed, PBE.

Cell: 5.397 5.397 16.683 Å, 90.00 90.00 90.00°
Fractional positions:
Pm (0.000, 0.000, 0.172)
Pm (0.000, 0.000, 0.828)
Pm (0.000, 0.500, 0.000)
Pm (0.000, 0.500, 0.500)
Pm (0.500, 0.000, 0.000)
Pm (0.500, 0.000, 0.500)
Pm (0.500, 0.500, 0.328)
Pm (0.500, 0.500, 0.672)
Ga (0.000, 0.000, 0.000)
Ga (0.500, 0.500, 0.500)
Bi (0.000, 0.000, 0.365)
Bi (0.000, 0.000, 0.635)
Bi (0.500, 0.500, 0.135)
Bi (0.500, 0.500, 0.865)

Output
Symmetry = I4/mmm (139)
ΔE_f = -0.448 eV per atom
Mass density = 7.30 g/cm³

No. 3
Ca2MgAl12Pt3: relaxed, PBE.

Cell: 7.926 7.926 7.926 Å, 68.97 68.97 68.97°
Fractional positions:
Ca (0.095, 0.095, 0.095)
Ca (0.905, 0.905, 0.905)
Mg (0.500, 0.500, 0.500)
Al (0.123, 0.643, 0.643)
Al (0.237, 0.237, 0.645)
Al (0.237, 0.645, 0.237)
Al (0.355, 0.763, 0.763)
Al (0.357, 0.357, 0.877)
Al (0.357, 0.877, 0.357)
Al (0.643, 0.123, 0.643)
Al (0.643, 0.643, 0.123)
Al (0.645, 0.237, 0.237)
Al (0.763, 0.355, 0.763)
Al (0.763, 0.763, 0.355)
Al (0.877, 0.357, 0.357)
Pt (0.000, 0.500, 0.500)
Pt (0.500, 0.000, 0.500)
Pt (0.500, 0.500, 0.000)

Output
Symmetry = R-3m (166)
ΔE_f = -0.142 eV per atom
Mass density = 4.02 g/cm³

No. 4
Er4Cu5P7: relaxed, PBE.

Cell: 10.325 10.325 10.325 Å, 150.57 150.57 42.11°
Fractional positions:
Er (0.124, 0.643, 0.000)
Er (0.357, 0.357, 0.481)
Er (0.643, 0.124, 0.000)
Er (0.876, 0.876, 0.519)
Cu (0.249, 0.249, 0.000)
Cu (0.250, 0.750, 0.500)
Cu (0.500, 0.500, 0.000)
Cu (0.750, 0.250, 0.500)
Cu (0.751, 0.751, 0.000)
P (0.000, 0.000, 0.000)
P (0.000, 0.500, 0.500)
P (0.085, 0.085, 0.510)
P (0.425, 0.915, 0.000)
P (0.500, 0.000, 0.500)
P (0.575, 0.575, 0.490)
P (0.915, 0.425, 0.000)

Output
Symmetry = I-42m (121)
ΔE_f = -0.815 eV per atom
Mass density = 7.54 g/cm³

No. 5
Nd5Tl4Rh: relaxed, PBE.

Cell: 7.802 7.802 7.802 Å, 98.51 98.51 134.76°
Fractional positions:
Nd (0.000, 0.000, 0.000)
Nd (0.261, 0.624, 0.885)
Nd (0.376, 0.261, 0.636)
Nd (0.624, 0.739, 0.364)
Nd (0.739, 0.376, 0.115)
Tl (0.059, 0.349, 0.407)
Tl (0.349, 0.941, 0.290)
Tl (0.651, 0.059, 0.710)
Tl (0.941, 0.651, 0.593)
Rh (0.500, 0.500, 0.000)

Output
Distance to the lowest polymorph of the same formula = 3.75 kcal/mol of atoms
Symmetry = I4/m (87)
ΔE_f = -0.279 eV per atom
Mass density = 8.76 g/cm³

No. 6
Sm3In3Ga2: relaxed, PBE.

Cell: 17.809 4.359 5.413 Å, 90.00 101.83 90.00°
Fractional positions:
Sm (0.000, 0.000, 0.000)
Sm (0.152, 0.000, 0.587)
Sm (0.348, 0.500, 0.413)
Sm (0.500, 0.500, 0.000)
Sm (0.652, 0.500, 0.587)
Sm (0.848, 0.000, 0.413)
In (0.000, 0.500, 0.500)
In (0.136, 0.500, 0.086)
In (0.364, 0.000, 0.914)
In (0.500, 0.000, 0.500)
In (0.636, 0.000, 0.086)
In (0.864, 0.500, 0.914)
Ga (0.239, 0.000, 0.175)
Ga (0.261, 0.500, 0.825)
Ga (0.739, 0.500, 0.175)
Ga (0.761, 0.000, 0.825)

Output
Symmetry = C2/m (12)
ΔE_f = -0.449 eV per atom
Mass density = 7.55 g/cm³

No. 7
HfBAu: relaxed, PBE.

Cell: 3.125 4.741 6.609 Å, 92.22 96.86 95.62°
Fractional positions:
Hf (0.000, 0.000, 0.000)
Hf (0.350, 0.439, 0.664)
B (0.437, 0.938, 0.721)
B (0.905, 0.817, 0.656)
Au (0.560, 0.499, 0.133)
Au (0.596, 0.018, 0.378)

Output
Symmetry = P1 (1)
ΔE_f = -0.311 eV per atom
Mass density = 13.28 g/cm³

No. 8
Cd2InHg4: relaxed, PBE.

Cell: 6.364 3.474 16.189 Å, 90.00 91.26 90.00°
Fractional positions:
Cd (0.000, 0.000, 0.000)
Cd (0.007, 0.000, 0.279)
Cd (0.500, 0.500, 0.000)
Cd (0.507, 0.500, 0.279)
In (0.473, 0.500, 0.713)
In (0.973, 0.000, 0.713)
Hg (0.150, 0.500, 0.565)
Hg (0.166, 0.500, 0.861)
Hg (0.322, 0.000, 0.421)
Hg (0.330, 0.000, 0.139)
Hg (0.650, 0.000, 0.565)
Hg (0.666, 0.000, 0.861)
Hg (0.822, 0.500, 0.421)
Hg (0.830, 0.500, 0.139)

Output
Distance to the lowest polymorph of the same formula = 0.00 kcal/mol of atoms
Symmetry = Cm (8)
ΔE_f = 0.024 eV per atom
Mass density = 10.60 g/cm³

Quick rundown of DOS(E_F), same order as above: 37.399; 8.796; 8.960; 2.815; 10.801; 10.017; 2.818; 4.197 states/eV per cell